Below is Mg6CrFeO8 after structural relaxation, with properties calculated at the GGA+U level.

a = 4.2977 Å, b = 4.2977 Å, c = 8.5765 Å
α = 90.00°, β = 90.00°, γ = 90.00°
Fractional positions:
1 Mg 0.0000 0.0000 0.0000
2 Mg 0.0000 0.0000 0.5000
3 Mg 0.0000 0.5000 0.2487
4 Mg 0.0000 0.5000 0.7513
5 Mg 0.5000 0.0000 0.2487
6 Mg 0.5000 0.0000 0.7513
7 Cr 0.5000 0.5000 0.5000
8 Fe 0.5000 0.5000 0.0000
9 O 0.0000 0.0000 0.2496
10 O 0.0000 0.0000 0.7504
11 O 0.0000 0.5000 0.0000
12 O 0.0000 0.5000 0.5000
13 O 0.5000 0.0000 0.0000
14 O 0.5000 0.0000 0.5000
15 O 0.5000 0.5000 0.2606
16 O 0.5000 0.5000 0.7394

Computed properties:
Space group: P4/mmm (123)
Uncorrected energy (eV/atom): -6.2166